Ca2LaIr | PBE | optimized geometry

a b c (Å): 11.1035 11.1035 11.1035
angles (deg): 18.43 18.43 18.43
Sites, in units of the cell vectors:
Ca: 0.2277 0.2277 0.2277
Ca: 0.7723 0.7723 0.7723
La: 0.0000 0.0000 0.0000
Ir: 0.5000 0.5000 0.5000

M_tot = 0.00 μB/cell
ΔE_f = 0.101 eV per atom
Volume = 29.9 Å³/atom
Distance to the lowest polymorph of the same formula = 0.5187 eV/atom
Uncorrected energy = -4.3469 eV/atom
SG = R-3m


Ca2LaIr | PBE | optimized geometry

a b c (Å): 7.6403 9.7327 6.6140
angles (deg): 90.00 90.00 90.00
Sites, in units of the cell vectors:
Ca: 0.1691 0.0685 0.1642
Ca: 0.1691 0.4315 0.1642
Ca: 0.3309 0.5685 0.6642
Ca: 0.3309 0.9315 0.6642
Ca: 0.6691 0.0685 0.3358
Ca: 0.6691 0.4315 0.3358
Ca: 0.8309 0.5685 0.8358
Ca: 0.8309 0.9315 0.8358
La: 0.0483 0.2500 0.6493
La: 0.4517 0.7500 0.1493
La: 0.5483 0.2500 0.8507
La: 0.9517 0.7500 0.3507
Ir: 0.1280 0.7500 0.9807
Ir: 0.3720 0.2500 0.4807
Ir: 0.6280 0.7500 0.5193
Ir: 0.8720 0.2500 0.0193

M_tot = 0.00 μB/cell
ΔE_f = -0.399 eV per atom
Volume = 30.7 Å³/atom
Distance to the lowest polymorph of the same formula = 0.0184 eV/atom
Uncorrected energy = -4.8472 eV/atom
SG = Pnma


CaLa2Ir | PBE | optimized geometry

a b c (Å): 5.0991 5.0991 4.1992
angles (deg): 90.00 90.00 90.00
Sites, in units of the cell vectors:
Ca: 0.0000 0.0000 0.0000
La: 0.0000 0.5000 0.5000
La: 0.5000 0.0000 0.5000
Ir: 0.5000 0.5000 0.0000

M_tot = 0.00 μB/cell
ΔE_f = -0.082 eV per atom
Volume = 27.3 Å³/atom
Distance to the lowest polymorph of the same formula = 0.3625 eV/atom
Uncorrected energy = -5.2615 eV/atom
SG = P4/mmm


CaLa2Ir | PBE | optimized geometry

a b c (Å): 10.0174 10.0174 10.0174
angles (deg): 24.30 24.30 24.30
Sites, in units of the cell vectors:
Ca: 0.0000 0.0000 0.0000
La: 0.2207 0.2207 0.2207
La: 0.4497 0.4497 0.4497
Ir: 0.8353 0.8353 0.8353

M_tot = 0.00 μB/cell
ΔE_f = -0.445 eV per atom
Volume = 37.4 Å³/atom
Distance to the lowest polymorph of the same formula = 0.0000 eV/atom
Uncorrected energy = -5.6240 eV/atom
SG = R3m


Ca2LaIr | PBE | optimized geometry

a b c (Å): 6.7281 6.7281 4.2492
angles (deg): 90.00 90.00 130.98
Sites, in units of the cell vectors:
Ca: 0.1525 0.8475 0.0000
Ca: 0.8475 0.1525 0.0000
La: 0.5000 0.5000 0.5000
Ir: 0.0000 0.0000 0.5000

M_tot = 0.56 μB/cell
ΔE_f = -0.249 eV per atom
Volume = 36.3 Å³/atom
Distance to the lowest polymorph of the same formula = 0.1682 eV/atom
Uncorrected energy = -4.6974 eV/atom
SG = Cmmm


Ca2LaIr | PBE | optimized geometry

a b c (Å): 3.8580 8.3197 8.3197
angles (deg): 30.05 90.00 90.00
Sites, in units of the cell vectors:
Ca: 0.0000 0.0000 0.0000
Ca: 0.5000 0.3306 0.3306
La: 0.5000 0.6547 0.6547
Ir: 0.0000 0.1833 0.1833

M_tot = 0.00 μB/cell
ΔE_f = -0.359 eV per atom
Volume = 33.4 Å³/atom
Distance to the lowest polymorph of the same formula = 0.0587 eV/atom
Uncorrected energy = -4.8068 eV/atom
SG = Amm2


LiCaLaIr | PBE | optimized geometry

a b c (Å): 5.0766 5.0766 5.0766
angles (deg): 60.00 60.00 60.00
Sites, in units of the cell vectors:
Li: 0.0000 0.0000 0.0000
Ca: 0.2500 0.2500 0.2500
La: 0.7500 0.7500 0.7500
Ir: 0.5000 0.5000 0.5000

M_tot = 0.00 μB/cell
ΔE_f = -0.325 eV per atom
Volume = 23.1 Å³/atom
Uncorrected energy = -4.7512 eV/atom
SG = F-43m


LiCaLa2Ir | PBE | optimized geometry

a b c (Å): 5.5756 5.5756 5.7987
angles (deg): 90.00 90.00 90.00
Sites, in units of the cell vectors:
Li: 0.0000 0.0000 0.0000
Ca: 0.5000 0.5000 0.0000
La: 0.0000 0.5000 0.5000
La: 0.5000 0.0000 0.5000
Ir: 0.5000 0.5000 0.5000

M_tot = 0.00 μB/cell
ΔE_f = -0.289 eV per atom
Volume = 36.1 Å³/atom
Distance to the lowest polymorph of the same formula = 0.0000 eV/atom
Uncorrected energy = -4.8154 eV/atom
SG = P4/mmm